No. 1
! Hg2Pb8Au, optimized geometry, DFT GGA-PBE; values from VASP
&SYSTEM
  ibrav = 0, nat = 11, ntyp = 3
/
ATOMIC_SPECIES
Hg 200.59 Hg.upf
Pb 207.20 Pb.upf
Au 196.97 Au.upf
CELL_PARAMETERS angstrom
4.987 0.000 0.000
0.000 4.987 0.000
0.000 0.000 13.144
ATOMIC_POSITIONS crystal
Hg 0.000 0.000 0.182
Hg 0.000 0.000 0.818
Pb 0.000 0.500 0.000
Pb 0.000 0.500 0.365
Pb 0.000 0.500 0.635
Pb 0.500 0.000 0.000
Pb 0.500 0.000 0.365
Pb 0.500 0.000 0.635
Pb 0.500 0.500 0.187
Pb 0.500 0.500 0.813
Au 0.000 0.000 0.500
! Energy relative to the lowest polymorph listed for this composition   0 meV/atom
! Crystal system   tetragonal
! E_form   4 kJ/mol of formula units
! Space-group type   P4/mmm


No. 2
! Hg2Pb2Au15, optimized geometry, DFT GGA-PBE; values from VASP
&SYSTEM
  ibrav = 0, nat = 19, ntyp = 3
/
ATOMIC_SPECIES
Hg 200.59 Hg.upf
Pb 207.20 Pb.upf
Au 196.97 Au.upf
CELL_PARAMETERS angstrom
4.947 2.856 4.694
-4.947 2.856 4.694
0.000 -5.713 4.694
ATOMIC_POSITIONS crystal
Hg 0.110 0.110 0.110
Hg 0.890 0.890 0.890
Pb 0.358 0.358 0.358
Pb 0.642 0.642 0.642
Au 0.000 0.000 0.500
Au 0.000 0.327 0.673
Au 0.000 0.500 0.000
Au 0.000 0.673 0.327
Au 0.170 0.660 0.660
Au 0.327 0.000 0.673
Au 0.327 0.673 0.000
Au 0.340 0.340 0.830
Au 0.340 0.830 0.340
Au 0.500 0.000 0.000
Au 0.660 0.170 0.660
Au 0.660 0.660 0.170
Au 0.673 0.000 0.327
Au 0.673 0.327 0.000
Au 0.830 0.340 0.340
! Crystal system   trigonal
! E_form   18 kJ/mol of formula units
! Space-group type   R-3m


No. 3
! Hg2Pb2Au, optimized geometry, DFT GGA-PBE; values from VASP
&SYSTEM
  ibrav = 0, nat = 10, ntyp = 3
/
ATOMIC_SPECIES
Hg 200.59 Hg.upf
Pb 207.20 Pb.upf
Au 196.97 Au.upf
CELL_PARAMETERS angstrom
7.674 0.000 0.000
0.000 7.674 0.000
0.000 0.000 4.853
ATOMIC_POSITIONS crystal
Hg 0.159 0.341 0.000
Hg 0.341 0.841 0.000
Hg 0.659 0.159 0.000
Hg 0.841 0.659 0.000
Pb 0.156 0.656 0.500
Pb 0.344 0.156 0.500
Pb 0.656 0.844 0.500
Pb 0.844 0.344 0.500
Au 0.000 0.000 0.500
Au 0.500 0.500 0.500
! Energy relative to the lowest polymorph listed for this composition   101 meV/atom
! Crystal system   tetragonal
! E_form   37 kJ/mol of formula units
! Space-group type   P4/mbm


No. 4
! Hg2PbAu, optimized geometry, DFT GGA-PBE; values from VASP
&SYSTEM
  ibrav = 0, nat = 4, ntyp = 3
/
ATOMIC_SPECIES
Hg 200.59 Hg.upf
Pb 207.20 Pb.upf
Au 196.97 Au.upf
CELL_PARAMETERS angstrom
-2.321 2.321 4.571
2.321 -2.321 4.571
2.321 2.321 -4.571
ATOMIC_POSITIONS crystal
Hg 0.000 0.000 0.000
Hg 0.750 0.250 0.500
Pb 0.250 0.750 0.500
Au 0.500 0.500 0.000
! Crystal system   tetragonal
! E_form   27 kJ/mol of formula units
! Space-group type   I-4m2


No. 5
! HgPb3Au, optimized geometry, DFT GGA-PBE; values from VASP
&SYSTEM
  ibrav = 0, nat = 5, ntyp = 3
/
ATOMIC_SPECIES
Hg 200.59 Hg.upf
Pb 207.20 Pb.upf
Au 196.97 Au.upf
CELL_PARAMETERS angstrom
5.593 0.000 0.000
0.000 5.593 0.000
0.000 0.000 5.593
ATOMIC_POSITIONS crystal
Hg 0.000 0.000 0.000
Pb 0.000 0.500 0.500
Pb 0.500 0.000 0.500
Pb 0.500 0.500 0.000
Au 0.500 0.500 0.500
! Energy relative to the lowest polymorph listed for this composition   307 meV/atom
! Crystal system   cubic
! E_form   133 kJ/mol of formula units
! Space-group type   Pm-3m


No. 6
! Hg2PbAu2, optimized geometry, DFT GGA-PBE; values from VASP
&SYSTEM
  ibrav = 0, nat = 5, ntyp = 3
/
ATOMIC_SPECIES
Hg 200.59 Hg.upf
Pb 207.20 Pb.upf
Au 196.97 Au.upf
CELL_PARAMETERS angstrom
-1.958 1.958 8.218
1.958 -1.958 8.218
1.958 1.958 -8.218
ATOMIC_POSITIONS crystal
Hg 0.111 0.111 0.000
Hg 0.889 0.889 0.000
Pb 0.500 0.500 0.000
Au 0.250 0.750 0.500
Au 0.750 0.250 0.500
! Energy relative to the lowest polymorph listed for this composition   54 meV/atom
! Crystal system   tetragonal
! E_form   34 kJ/mol of formula units
! Space-group type   I4/mmm